## A
Entry from the Alexandria database: a geometry-optimized TbPmH structure (PBE-GGA).

Structure (POSCAR):
```
TbPmH
1.0
3.6808 0.0000 0.0000
-1.8404 3.1877 0.0000
0.0000 0.0000 5.7216
Tb Pm H
1 1 1
Direct
0.0000 0.0000 0.0000
0.3333 0.6667 0.4824
0.6667 0.3333 0.2315
```

Summary:
Crystal system = trigonal
Space-group type = P3m1 (156)
Volume = 67 Å³ per cell
DOS(E_F) = 2.775 states/eV/f.u.

## B
Entry from the Alexandria database: a geometry-optimized TbPmH structure (PBE-GGA).

Structure (POSCAR):
```
TbPmH
1.0
-1.6992 1.6992 6.1361
1.6992 -1.6992 6.1361
1.6992 1.6992 -6.1361
Tb Pm H
1 1 1
Direct
0.0000 0.0000 0.0000
0.2886 0.2886 0.0000
0.4755 0.4755 0.0000
```

Summary:
Crystal system = tetragonal
Space-group type = I4mm (107)
Volume = 71 Å³ per cell
DOS(E_F) = 2.804 states/eV/f.u.

Which one sits at the top of the stability order? A does.

## A
Entry from the Alexandria database: a geometry-optimized PmTcH4 structure (PBE-GGA).

Structure (POSCAR):
```
PmTcH4
1.0
3.1257 -5.3263 0.0000
3.1257 5.3263 0.0000
-2.5435 0.0000 3.7198
Pm Tc H
2 2 8
Direct
0.1362 0.8638 0.7500
0.8638 0.1362 0.2500
0.4268 0.5732 0.2500
0.5732 0.4268 0.7500
0.1576 0.5697 0.3057
0.2367 0.3053 0.7812
0.3053 0.2367 0.2812
0.4303 0.8424 0.1943
0.5697 0.1576 0.8057
0.6947 0.7633 0.7188
0.7633 0.6947 0.2188
0.8424 0.4303 0.6943
```

Summary:
Crystal system = monoclinic
Space-group type = C2/c (15)
Volume = 124 Å³ per cell
DOS(E_F) = 2.523 states/eV/f.u.

## B
Entry from the Alexandria database: a geometry-optimized PmTcH4 structure (PBE-GGA).

Structure (POSCAR):
```
PmTcH4
1.0
1.8362 -6.1124 0.0000
1.8362 6.1124 0.0000
0.0000 0.0000 5.1375
Pm Tc H
2 2 8
Direct
0.1328 0.8672 0.7500
0.8672 0.1328 0.2500
0.4008 0.5992 0.7500
0.5992 0.4008 0.2500
0.0845 0.9155 0.2500
0.3018 0.6982 0.5095
0.3018 0.6982 0.9905
0.5000 0.5000 0.0000
0.5000 0.5000 0.5000
0.6982 0.3018 0.0095
0.6982 0.3018 0.4905
0.9155 0.0845 0.7500
```

Summary:
Crystal system = orthorhombic
Space-group type = Cmcm (63)
Volume = 115 Å³ per cell
DOS(E_F) = 0.071 states/eV/f.u.

Which one sits at the top of the stability order? B does.

## A
Entry from the Alexandria database: a geometry-optimized Pm2TcH structure (PBE-GGA).

Structure (POSCAR):
```
Pm2TcH
1.0
3.3901 0.0000 0.0000
0.0000 3.3901 0.0000
0.0000 0.0000 7.0955
Pm Tc H
2 1 1
Direct
0.0000 0.0000 0.2441
0.0000 0.0000 0.7559
0.5000 0.5000 0.0000
0.5000 0.5000 0.5000
```

Summary:
Crystal system = tetragonal
Space-group type = P4/mmm (123)
Volume = 82 Å³ per cell
DOS(E_F) = 1.594 states/eV/f.u.

## B
Entry from the Alexandria database: a geometry-optimized Pm2TcH structure (PBE-GGA).

Structure (POSCAR):
```
Pm2TcH
1.0
1.7736 1.0240 7.3505
-1.7736 1.0240 7.3505
0.0000 -2.0480 7.3505
Pm Tc H
2 1 1
Direct
0.2403 0.2403 0.2403
0.7597 0.7597 0.7597
0.0000 0.0000 0.0000
0.5000 0.5000 0.5000
```

Summary:
Crystal system = trigonal
Space-group type = R-3m (166)
Volume = 80 Å³ per cell
DOS(E_F) = 2.779 states/eV/f.u.

Which one sits at the top of the stability order? A does.

## A
Entry from the Alexandria database: a geometry-optimized PmTeH structure (PBE-GGA).

Structure (POSCAR):
```
PmTeH
1.0
5.9395 0.0000 0.0000
0.0000 3.9850 0.0000
0.0000 0.0000 11.0565
Pm Te H
4 4 4
Direct
0.1652 0.2500 0.1167
0.3348 0.7500 0.6167
0.6652 0.2500 0.3833
0.8348 0.7500 0.8833
0.1024 0.7500 0.3510
0.3976 0.2500 0.8510
0.6024 0.7500 0.1490
0.8976 0.2500 0.6490
0.0943 0.7500 0.0304
0.4057 0.2500 0.5304
0.5943 0.7500 0.4696
0.9057 0.2500 0.9696
```

Summary:
Crystal system = orthorhombic
Space-group type = Pnma (62)
Volume = 262 Å³ per cell

## B
Entry from the Alexandria database: a geometry-optimized PmTeH structure (PBE-GGA).

Structure (POSCAR):
```
PmTeH
1.0
3.2830 -3.2809 0.0000
3.2830 3.2809 0.0000
-3.2689 0.0000 6.5556
Pm Te H
2 2 2
Direct
0.1610 0.1610 0.3230
0.8390 0.8390 0.6770
0.0000 0.5000 0.0000
0.5000 0.0000 0.0000
0.2501 0.7499 0.5000
0.7499 0.2501 0.5000
```

Summary:
Crystal system = monoclinic
Space-group type = C2/m (12)
Volume = 141 Å³ per cell
DOS(E_F) = 1.574 states/eV/f.u.

## C
Entry from the Alexandria database: a geometry-optimized PmTeH structure (PBE-GGA).

Structure (POSCAR):
```
PmTeH
1.0
-1.7608 1.7608 5.3617
1.7608 -1.7608 5.3617
1.7608 1.7608 -5.3617
Pm Te H
1 1 1
Direct
0.0000 0.0000 0.0000
0.2981 0.2981 0.0000
0.5656 0.5656 0.0000
```

Summary:
Crystal system = tetragonal
Space-group type = I4mm (107)
Volume = 66 Å³ per cell
DOS(E_F) = 1.777 states/eV/f.u.

Which one sits at the top of the stability order? A does.

## A
Entry from the Alexandria database: a geometry-optimized PmThH2 structure (PBE-GGA).

Structure (POSCAR):
```
PmThH2
1.0
1.7595 1.0158 6.3135
-1.7595 1.0158 6.3135
0.0000 -2.0317 6.3135
Pm Th H
1 1 2
Direct
0.0000 0.0000 0.0000
0.8262 0.8262 0.8262
0.4101 0.4101 0.4101
0.5860 0.5860 0.5860
```

Summary:
Crystal system = trigonal
Space-group type = R3m (160)
Volume = 68 Å³ per cell
DOS(E_F) = 4.085 states/eV/f.u.

## B
Entry from the Alexandria database: a geometry-optimized PmThH2 structure (PBE-GGA).

Structure (POSCAR):
```
PmThH2
1.0
1.8103 1.0452 5.9593
-1.8103 1.0452 5.9593
0.0000 -2.0904 5.9593
Pm Th H
1 1 2
Direct
0.0000 0.0000 0.0000
0.5000 0.5000 0.5000
0.2483 0.2483 0.2483
0.7517 0.7517 0.7517
```

Summary:
Crystal system = trigonal
Space-group type = R-3m (166)
Volume = 68 Å³ per cell
DOS(E_F) = 2.557 states/eV/f.u.

Which one sits at the top of the stability order? B does.

## A
Entry from the Alexandria database: a geometry-optimized Pm2TlH structure (PBE-GGA).

Structure (POSCAR):
```
Pm2TlH
1.0
3.1951 -1.8387 0.0000
3.1951 1.8387 0.0000
-2.1531 0.0000 8.1188
Pm Tl H
2 1 1
Direct
0.0000 0.0000 0.0000
0.2136 0.2136 0.6518
0.7764 0.7764 0.3255
0.6083 0.6083 0.8269
```

Summary:
Crystal system = monoclinic
Space-group type = Cm (8)
Volume = 95 Å³ per cell
DOS(E_F) = 3.449 states/eV/f.u.

## B
Entry from the Alexandria database: a geometry-optimized Pm2TlH structure (PBE-GGA).

Structure (POSCAR):
```
Pm2TlH
1.0
1.8500 1.0681 8.0316
-1.8500 1.0681 8.0316
0.0000 -2.1362 8.0316
Pm Tl H
2 1 1
Direct
0.2255 0.2255 0.2255
0.7745 0.7745 0.7745
0.0000 0.0000 0.0000
0.5000 0.5000 0.5000
```

Summary:
Crystal system = trigonal
Space-group type = R-3m (166)
Volume = 95 Å³ per cell
DOS(E_F) = 2.701 states/eV/f.u.

## C
Entry from the Alexandria database: a geometry-optimized Pm2TlH structure (PBE-GGA).

Structure (POSCAR):
```
Pm2TlH
1.0
2.8003 -6.2073 0.0000
2.8003 6.2073 0.0000
0.0000 0.0000 5.5432
Pm Tl H
4 2 2
Direct
0.1519 0.3473 0.0000
0.3473 0.1519 0.5000
0.6527 0.8481 0.5000
0.8481 0.6527 0.0000
0.0000 0.5000 0.5000
0.5000 0.0000 0.0000
0.0000 0.0000 0.2500
0.0000 0.0000 0.7500
```

Summary:
Crystal system = orthorhombic
Space-group type = Cccm (66)
Volume = 193 Å³ per cell
DOS(E_F) = 2.609 states/eV/f.u.

## D
Entry from the Alexandria database: a geometry-optimized Pm2TlH structure (PBE-GGA).

Structure (POSCAR):
```
Pm2TlH
1.0
5.8635 -2.4994 0.0000
5.8635 2.4994 0.0000
-3.0501 0.0000 6.4223
Pm Tl H
4 2 2
Direct
0.0528 0.0528 0.2844
0.3231 0.3231 0.9280
0.6769 0.6769 0.0720
0.9472 0.9472 0.7156
0.3575 0.3575 0.4092
0.6425 0.6425 0.5908
0.1335 0.1335 0.0145
0.8665 0.8665 0.9855
```

Summary:
Crystal system = monoclinic
Space-group type = C2/m (12)
Volume = 188 Å³ per cell
DOS(E_F) = 2.424 states/eV/f.u.

Which one sits at the top of the stability order? C does.

## A
Entry from the Alexandria database: a geometry-optimized PmTmH structure (PBE-GGA).

Structure (POSCAR):
```
PmTmH
1.0
3.6315 0.0000 0.0000
-1.8157 3.1449 0.0000
0.0000 0.0000 5.6707
Pm Tm H
1 1 1
Direct
0.0000 0.0000 0.0000
0.6667 0.3333 0.5127
0.3333 0.6667 0.7402
```

Summary:
Crystal system = trigonal
Space-group type = P3m1 (156)
Volume = 65 Å³ per cell
DOS(E_F) = 2.888 states/eV/f.u.

## B
Entry from the Alexandria database: a geometry-optimized PmTmH structure (PBE-GGA).

Structure (POSCAR):
```
PmTmH
1.0
6.5632 0.0000 0.0000
0.0000 6.1241 0.0000
-0.5941 0.0000 6.5345
Pm Tm H
4 4 4
Direct
0.1536 0.1846 0.4236
0.1536 0.3154 0.9236
0.8464 0.6846 0.0764
0.8464 0.8154 0.5764
0.3754 0.6760 0.3130
0.3754 0.8240 0.8130
0.6246 0.1760 0.1870
0.6246 0.3240 0.6870
0.3228 0.0101 0.1178
0.3228 0.4899 0.6178
0.6772 0.5101 0.3822
0.6772 0.9899 0.8822
```

Summary:
Crystal system = monoclinic
Space-group type = P2_1/c (14)
Volume = 263 Å³ per cell
DOS(E_F) = 2.683 states/eV/f.u.

Which one sits at the top of the stability order? A does.

## A
Entry from the Alexandria database: a geometry-optimized PmTmH2 structure (PBE-GGA).

Structure (POSCAR):
```
PmTmH2
1.0
1.7549 1.0132 5.7008
-1.7549 1.0132 5.7008
0.0000 -2.0264 5.7008
Pm Tm H
1 1 2
Direct
0.0000 0.0000 0.0000
0.5000 0.5000 0.5000
0.2436 0.2436 0.2436
0.7564 0.7564 0.7564
```

Summary:
Crystal system = trigonal
Space-group type = R-3m (166)
Volume = 61 Å³ per cell
DOS(E_F) = 2.154 states/eV/f.u.

## B
Entry from the Alexandria database: a geometry-optimized PmTmH2 structure (PBE-GGA).

Structure (POSCAR):
```
PmTmH2
1.0
1.7524 1.0117 5.9365
-1.7524 1.0117 5.9365
0.0000 -2.0234 5.9365
Pm Tm H
1 1 2
Direct
0.0000 0.0000 0.0000
0.1794 0.1794 0.1794
0.5803 0.5803 0.5803
0.7794 0.7794 0.7794
```

Summary:
Crystal system = trigonal
Space-group type = R3m (160)
Volume = 63 Å³ per cell
DOS(E_F) = 1.938 states/eV/f.u.

Which one sits at the top of the stability order? A does.

## A
Entry from the Alexandria database: a geometry-optimized PmYH2 structure (PBE-GGA).

Structure (POSCAR):
```
PmYH2
1.0
1.7744 1.0245 5.7704
-1.7744 1.0245 5.7704
0.0000 -2.0489 5.7704
Pm Y H
1 1 2
Direct
0.0000 0.0000 0.0000
0.5000 0.5000 0.5000
0.2445 0.2445 0.2445
0.7555 0.7555 0.7555
```

Summary:
Crystal system = trigonal
Space-group type = R-3m (166)
Volume = 63 Å³ per cell
DOS(E_F) = 2.458 states/eV/f.u.

## B
Entry from the Alexandria database: a geometry-optimized PmYH2 structure (PBE-GGA).

Structure (POSCAR):
```
PmYH2
1.0
1.7742 1.0243 5.9947
-1.7742 1.0243 5.9947
0.0000 -2.0486 5.9947
Pm Y H
1 1 2
Direct
0.0000 0.0000 0.0000
0.1791 0.1791 0.1791
0.5825 0.5825 0.5825
0.7754 0.7754 0.7754
```

Summary:
Crystal system = trigonal
Space-group type = R3m (160)
Volume = 65 Å³ per cell
DOS(E_F) = 1.935 states/eV/f.u.

Which one sits at the top of the stability order? A does.

## A
Entry from the Alexandria database: a geometry-optimized PmYH structure (PBE-GGA).

Structure (POSCAR):
```
PmYH
1.0
-1.6939 1.6939 6.1743
1.6939 -1.6939 6.1743
1.6939 1.6939 -6.1743
Pm Y H
1 1 1
Direct
0.0000 0.0000 0.0000
0.7114 0.7114 0.0000
0.1862 0.1862 0.0000
```

Summary:
Crystal system = tetragonal
Space-group type = I4mm (107)
Volume = 71 Å³ per cell
DOS(E_F) = 2.803 states/eV/f.u.

## B
Entry from the Alexandria database: a geometry-optimized PmYH structure (PBE-GGA).

Structure (POSCAR):
```
PmYH
1.0
3.6751 0.0000 0.0000
-1.8375 3.1827 0.0000
0.0000 0.0000 5.7376
Pm Y H
1 1 1
Direct
0.0000 0.0000 0.0000
0.6667 0.3333 0.5170
0.3333 0.6667 0.7463
```

Summary:
Crystal system = trigonal
Space-group type = P3m1 (156)
Volume = 67 Å³ per cell
DOS(E_F) = 2.885 states/eV/f.u.

Which one sits at the top of the stability order? B does.

## A
Entry from the Alexandria database: a geometry-optimized Pm2ZnH structure (PBE-GGA).

Structure (POSCAR):
```
Pm2ZnH
1.0
3.3775 0.0000 0.0000
0.0000 3.3775 0.0000
0.0000 0.0000 7.2557
Pm Zn H
2 1 1
Direct
0.0000 0.0000 0.2299
0.0000 0.0000 0.7701
0.5000 0.5000 0.5000
0.5000 0.5000 0.0000
```

Summary:
Crystal system = tetragonal
Space-group type = P4/mmm (123)
Volume = 83 Å³ per cell
DOS(E_F) = 4.791 states/eV/f.u.

## B
Entry from the Alexandria database: a geometry-optimized Pm2ZnH structure (PBE-GGA).

Structure (POSCAR):
```
Pm2ZnH
1.0
1.8596 1.0737 7.3355
-1.8596 1.0737 7.3355
0.0000 -2.1473 7.3355
Pm Zn H
2 1 1
Direct
0.0000 0.0000 0.0000
0.2047 0.2047 0.2047
0.4346 0.4346 0.4346
0.6021 0.6021 0.6021
```

Summary:
Crystal system = trigonal
Space-group type = R3m (160)
Volume = 88 Å³ per cell
DOS(E_F) = 2.853 states/eV/f.u.

## C
Entry from the Alexandria database: a geometry-optimized Pm2ZnH structure (PBE-GGA).

Structure (POSCAR):
```
Pm2ZnH
1.0
1.8741 1.0820 7.2528
-1.8741 1.0820 7.2528
0.0000 -2.1640 7.2528
Pm Zn H
2 1 1
Direct
0.2331 0.2331 0.2331
0.7669 0.7669 0.7669
0.0000 0.0000 0.0000
0.5000 0.5000 0.5000
```

Summary:
Crystal system = trigonal
Space-group type = R-3m (166)
Volume = 88 Å³ per cell
DOS(E_F) = 3.938 states/eV/f.u.

Which one sits at the top of the stability order? C does.

## A
Entry from the Alexandria database: a geometry-optimized Pr2PuH structure (PBE-GGA).

Structure (POSCAR):
```
Pr2PuH
1.0
1.8158 1.0484 8.8480
-1.8158 1.0484 8.8480
0.0000 -2.0967 8.8480
Pr Pu H
2 1 1
Direct
0.2257 0.2257 0.2257
0.7743 0.7743 0.7743
0.0000 0.0000 0.0000
0.5000 0.5000 0.5000
```

Summary:
Crystal system = trigonal
Space-group type = R-3m (166)
Volume = 101 Å³ per cell
DOS(E_F) = 10.110 states/eV/f.u.

## B
Entry from the Alexandria database: a geometry-optimized Pr2PuH structure (PBE-GGA).

Structure (POSCAR):
```
Pr2PuH
1.0
3.3593 0.0000 0.0000
0.0000 3.3593 0.0000
0.0000 0.0000 8.5730
Pr Pu H
2 1 1
Direct
0.0000 0.0000 0.1939
0.0000 0.0000 0.8061
0.5000 0.5000 0.5000
0.5000 0.5000 0.0000
```

Summary:
Crystal system = tetragonal
Space-group type = P4/mmm (123)
Volume = 97 Å³ per cell
DOS(E_F) = 9.526 states/eV/f.u.

Which one sits at the top of the stability order? A does.